Record 1
# UPaB (PBE, optimized geometry)
# - DFT formation energy (eV per atom) = 0.3646
# - calculated density (kg/m3) = 15490
# - DOS(E_F) (states/eV/f.u.) = 7.72
# - E above lowest polymorph (eV/atom) = 0.5169
data_UPaB
_chemical_formula_sum 'U2 Pa2 B2'
_space_group_name_H-M_alt 'I 4 m m'
_space_group_IT_number 107
_space_group_name_Hall 'I 4 -2'
_cell_length_a 3.485
_cell_length_b 3.485
_cell_length_c 8.471
_cell_angle_alpha 90.00
_cell_angle_beta 90.00
_cell_angle_gamma 90.00
loop_
_atom_site_label
_atom_site_type_symbol
_atom_site_fract_x
_atom_site_fract_y
_atom_site_fract_z
_atom_site_occupancy
U1 U 0.000 0.000 0.000 1
Pa1 Pa 0.000 0.000 0.338 1
B1 B 0.000 0.000 0.664 1

Record 2
# DyGe6Pt12 (PBE, optimized geometry)
# - DFT formation energy (eV per atom) = -0.4068
# - calculated density (kg/m3) = 14636
# - DOS(E_F) (states/eV/f.u.) = 9.90
data_DyGe6Pt12
_chemical_formula_sum 'Dy3 Ge18 Pt36'
_space_group_name_H-M_alt 'R -3 m'
_space_group_IT_number 166
_space_group_name_Hall '-R 3 2"'
_cell_length_a 11.7203
_cell_length_b 11.7203
_cell_length_c 8.4097
_cell_angle_alpha 90.00
_cell_angle_beta 90.00
_cell_angle_gamma 120.00
loop_
_atom_site_label
_atom_site_type_symbol
_atom_site_fract_x
_atom_site_fract_y
_atom_site_fract_z
_atom_site_occupancy
Dy1 Dy 0.0000 0.0000 0.0000 1
Ge1 Ge 0.0555 0.5277 0.2645 1
Pt1 Pt 0.0000 0.3714 0.5000 1
Pt2 Pt 0.0787 0.1573 0.2958 1

Record 3
# Ho2MgPd (PBE, optimized geometry)
# - DFT formation energy (eV per atom) = -0.4890
# - calculated density (kg/m3) = 7982
# - DOS(E_F) (states/eV/f.u.) = 3.32
data_Ho2MgPd
_chemical_formula_sum 'Ho2 Mg1 Pd1'
_space_group_name_H-M_alt 'P 4/m m m'
_space_group_IT_number 123
_space_group_name_Hall '-P 4 2'
_cell_length_a 3.616
_cell_length_b 3.616
_cell_length_c 7.328
_cell_angle_alpha 90.00
_cell_angle_beta 90.00
_cell_angle_gamma 90.00
loop_
_atom_site_label
_atom_site_type_symbol
_atom_site_fract_x
_atom_site_fract_y
_atom_site_fract_z
_atom_site_occupancy
Ho1 Ho 0.000 0.000 0.223 1
Mg1 Mg 0.500 0.500 0.500 1
Pd1 Pd 0.500 0.500 0.000 1

Record 4
# Ce2Cd16Hg (PBE, optimized geometry)
# - DFT formation energy (eV per atom) = -0.1168
# - calculated density (kg/m3) = 8547
# - DOS(E_F) (states/eV/f.u.) = 19.83
data_Ce2Cd16Hg
_chemical_formula_sum 'Ce6 Cd48 Hg3'
_space_group_name_H-M_alt 'R 3 m'
_space_group_IT_number 160
_space_group_name_Hall 'R 3 -2"'
_cell_length_a 10.1175
_cell_length_b 10.1175
_cell_length_c 14.9872
_cell_angle_alpha 90.00
_cell_angle_beta 90.00
_cell_angle_gamma 120.00
loop_
_atom_site_label
_atom_site_type_symbol
_atom_site_fract_x
_atom_site_fract_y
_atom_site_fract_z
_atom_site_occupancy
Ce1 Ce 0.0000 0.0000 0.0000 1
Ce2 Ce 0.0000 0.0000 0.3368 1
Cd1 Cd 0.0000 0.0000 0.5727 1
Cd2 Cd 0.0005 0.3009 0.6682 1
Cd3 Cd 0.0057 0.5028 0.1674 1
Cd4 Cd 0.0144 0.5072 0.8160 1
Cd5 Cd 0.1746 0.3491 0.8540 1
Hg1 Hg 0.0000 0.0000 0.7780 1

Record 5
# BeP2Pb (PBE, optimized geometry)
# - DFT formation energy (eV per atom) = 0.7557
# - calculated density (kg/m3) = 6384
# - DOS(E_F) (states/eV/f.u.) = 0.90
data_BeP2Pb
_chemical_formula_sum 'Be1 P2 Pb1'
_space_group_name_H-M_alt 'P 4/m m m'
_space_group_IT_number 123
_space_group_name_Hall '-P 4 2'
_cell_length_a 3.667
_cell_length_b 3.667
_cell_length_c 5.380
_cell_angle_alpha 90.00
_cell_angle_beta 90.00
_cell_angle_gamma 90.00
loop_
_atom_site_label
_atom_site_type_symbol
_atom_site_fract_x
_atom_site_fract_y
_atom_site_fract_z
_atom_site_occupancy
Be1 Be 0.000 0.000 0.000 1
P1 P 0.000 0.500 0.500 1
Pb1 Pb 0.500 0.500 0.000 1

Record 6
# ZrSc2W2 (PBE, optimized geometry)
# - DFT formation energy (eV per atom) = 0.4067
# - calculated density (kg/m3) = 8851
# - DOS(E_F) (states/eV/f.u.) = 5.62
data_ZrSc2W2
_chemical_formula_sum 'Zr2 Sc4 W4'
_space_group_name_H-M_alt 'P 4/m b m'
_space_group_IT_number 127
_space_group_name_Hall '-P 4 2ab'
_cell_length_a 7.459
_cell_length_b 7.459
_cell_length_c 3.701
_cell_angle_alpha 90.00
_cell_angle_beta 90.00
_cell_angle_gamma 90.00
loop_
_atom_site_label
_atom_site_type_symbol
_atom_site_fract_x
_atom_site_fract_y
_atom_site_fract_z
_atom_site_occupancy
Zr1 Zr 0.000 0.000 0.000 1
Sc1 Sc 0.174 0.326 0.500 1
W1 W 0.118 0.618 0.000 1

Record 7
# Pm2AuC2 (PBE, optimized geometry)
# - DFT formation energy (eV per atom) = -0.4054
# - calculated density (kg/m3) = 8430
# - DOS(E_F) (states/eV/f.u.) = 2.23
data_Pm2AuC2
_chemical_formula_sum 'Pm8 Au4 C8'
_space_group_name_H-M_alt 'C 1 2/c 1'
_space_group_IT_number 15
_cell_length_a 14.253
_cell_length_b 4.171
_cell_length_c 6.955
_cell_angle_alpha 90.00
_cell_angle_beta 103.15
_cell_angle_gamma 90.00
loop_
_space_group_symop_operation_xyz
'x,y,z'
'-x,-y,-z'
'-x,y,-z+1/2'
'x,-y,z+1/2'
'x+1/2,y+1/2,z'
'-x+1/2,-y+1/2,-z'
'-x+1/2,y+1/2,-z+1/2'
'x+1/2,-y+1/2,z+1/2'
loop_
_atom_site_label
_atom_site_type_symbol
_atom_site_fract_x
_atom_site_fract_y
_atom_site_fract_z
_atom_site_occupancy
Pm1 Pm 0.146 0.171 0.135 1
Au1 Au 0.000 0.346 0.750 1
C1 C 0.226 0.371 0.528 1

Record 8
# Ta2Nb3Ru2 (PBE, optimized geometry)
# - DFT formation energy (eV per atom) = -0.2514
# - calculated density (kg/m3) = 11822
# - DOS(E_F) (states/eV/f.u.) = 4.30
data_Ta2Nb3Ru2
_chemical_formula_sum 'Ta4 Nb6 Ru4'
_space_group_name_H-M_alt 'C 1 2/m 1'
_space_group_IT_number 12
_cell_length_a 10.290
_cell_length_b 3.209
_cell_length_c 7.255
_cell_angle_alpha 90.00
_cell_angle_beta 98.76
_cell_angle_gamma 90.00
loop_
_space_group_symop_operation_xyz
'x,y,z'
'-x,-y,-z'
'-x,y,-z'
'x,-y,z'
'x+1/2,y+1/2,z'
'-x+1/2,-y+1/2,-z'
'-x+1/2,y+1/2,-z'
'x+1/2,-y+1/2,z'
loop_
_atom_site_label
_atom_site_type_symbol
_atom_site_fract_x
_atom_site_fract_y
_atom_site_fract_z
_atom_site_occupancy
Ta1 Ta 0.138 0.000 0.430 1
Nb1 Nb 0.000 0.000 0.000 1
Nb2 Nb 0.215 0.500 0.144 1
Ru1 Ru 0.071 0.500 0.709 1

Record 9
# KNa2NiC (PBE, optimized geometry)
# - DFT formation energy (eV per atom) = 2.1518
# - calculated density (kg/m3) = 1486
# - DOS(E_F) (states/eV/f.u.) = 2.50
data_KNa2NiC
_chemical_formula_sum 'K1 Na2 Ni1 C1'
_space_group_name_H-M_alt 'P 4/m m m'
_space_group_IT_number 123
_space_group_name_Hall '-P 4 2'
_cell_length_a 6.082
_cell_length_b 6.082
_cell_length_c 4.707
_cell_angle_alpha 90.00
_cell_angle_beta 90.00
_cell_angle_gamma 90.00
loop_
_atom_site_label
_atom_site_type_symbol
_atom_site_fract_x
_atom_site_fract_y
_atom_site_fract_z
_atom_site_occupancy
K1 K 0.000 0.000 0.000 1
Na1 Na 0.000 0.500 0.000 1
Ni1 Ni 0.000 0.000 0.500 1
C1 C 0.500 0.500 0.500 1

Record 10
# Ca2In2Bi (PBE, optimized geometry)
# - DFT formation energy (eV per atom) = -0.0837
# - calculated density (kg/m3) = 5176
# - DOS(E_F) (states/eV/f.u.) = 3.23
# - E above lowest polymorph (eV/atom) = 0.3401
data_Ca2In2Bi
_chemical_formula_sum 'Ca4 In4 Bi2'
_space_group_name_H-M_alt 'I 4/m m m'
_space_group_IT_number 139
_space_group_name_Hall '-I 4 2'
_cell_length_a 5.031
_cell_length_b 5.031
_cell_length_c 13.152
_cell_angle_alpha 90.00
_cell_angle_beta 90.00
_cell_angle_gamma 90.00
loop_
_atom_site_label
_atom_site_type_symbol
_atom_site_fract_x
_atom_site_fract_y
_atom_site_fract_z
_atom_site_occupancy
Ca1 Ca 0.000 0.500 0.250 1
In1 In 0.000 0.000 0.101 1
Bi1 Bi 0.000 0.000 0.500 1

Record 11
# KGa2HgW (PBE, optimized geometry)
# - DFT formation energy (eV per atom) = 2.0984
# - calculated density (kg/m3) = 4872
# - DOS(E_F) (states/eV/f.u.) = 4.51
data_KGa2HgW
_chemical_formula_sum 'K1 Ga2 Hg1 W1'
_space_group_name_H-M_alt 'P 4/m m m'
_space_group_IT_number 123
_space_group_name_Hall '-P 4 2'
_cell_length_a 5.734
_cell_length_b 5.734
_cell_length_c 5.836
_cell_angle_alpha 90.00
_cell_angle_beta 90.00
_cell_angle_gamma 90.00
loop_
_atom_site_label
_atom_site_type_symbol
_atom_site_fract_x
_atom_site_fract_y
_atom_site_fract_z
_atom_site_occupancy
K1 K 0.000 0.000 0.000 1
Ga1 Ga 0.000 0.500 0.000 1
Hg1 Hg 0.500 0.500 0.500 1
W1 W 0.000 0.000 0.500 1

Record 12
# AcTiSb (PBE, optimized geometry)
# - calculated density (kg/m3) = 7280
# - formation energy without anion corrections (kJ/mol of atoms) = -35.35
# - DOS(E_F) (states/eV/f.u.) = 2.97
# - E above lowest polymorph (eV/atom) = 0.0717
data_AcTiSb
_chemical_formula_sum 'Ac1 Ti1 Sb1'
_space_group_name_H-M_alt 'P -6 m 2'
_space_group_IT_number 187
_space_group_name_Hall 'P -6 2'
_cell_length_a 4.8123
_cell_length_b 4.8123
_cell_length_c 4.5105
_cell_angle_alpha 90.00
_cell_angle_beta 90.00
_cell_angle_gamma 120.00
loop_
_atom_site_label
_atom_site_type_symbol
_atom_site_fract_x
_atom_site_fract_y
_atom_site_fract_z
_atom_site_occupancy
Ac1 Ac 0.0000 0.0000 0.0000 1
Ti1 Ti 0.6667 0.3333 0.5000 1
Sb1 Sb 0.3333 0.6667 0.5000 1

Which of these has the highest calculated density? UPaB